A plane-wave DFT calculation with GGA-PBE was carried out for an optimized crystal structure of Hf2CdCuTe.

abc: 5.231 5.231 5.332
angles: 90.00 90.00 90.00
Element x y z (fractional)
Hf  0.000  0.500  0.000
Hf  0.500  0.000  0.000
Cd  0.000  0.000  0.500
Cu  0.500  0.500  0.500
Te  0.000  0.000  0.000

Output
D(E_F)	5.33	states/eV/f.u.
energy relative to the elements, uncorrected	1211	meV/atom
space group	P4/mmm (123)